A relaxed structure of CrTcPbO6. Source: Alexandria, functional PBE with a Hubbard U.

## Properties
The value obtained for the raw total energy is -7.1323 eV/atom. The space group is P312. The magnetic moment comes out at 3.04 μB/cell.

```
CrTcPbO6
1.0
5.227 0.000 0.000
-2.613 4.527 0.000
0.000 0.000 5.211
Cr Tc Pb O
1 1 1 6
direct
0.000 0.000 0.000
0.333 0.667 0.000
0.667 0.333 0.500
0.055 0.345 0.206
0.055 0.710 0.794
0.290 0.345 0.794
0.290 0.945 0.206
0.655 0.710 0.206
0.655 0.945 0.794
```